YScS2 PBE-GGA relaxed; DFT total energy = -0.261 hartree per atom; energy relative to the elements, uncorrected = -42.72 kcal/mol of atoms; symmetry = P-3m1, No. 164
1.0
3.6881 0.0001 -0.0002
-1.8440 3.1940 0.0018
-0.0001 -0.0036 6.7568
Y Sc S
1 1 2
Cartesian
-0.9221 1.5952 3.3793 Y
-0.9220 1.5970 0.0009 Sc
0.9218 2.6589 5.1850 S
0.9222 0.5315 1.5734 S

=====

YZrSc2S4 PBE-GGA relaxed; DFT total energy = -0.268 hartree per atom; energy relative to the elements, uncorrected = -40.65 kcal/mol of atoms; symmetry = P2/m, No. 10
1.0
3.7421 0.0000 0.0000
0.0000 6.5322 -0.1385
0.0000 2.2895 6.0610
Y Zr Sc S
1 1 2 4
Cartesian
1.8711 5.5556 5.9917 Y
0.0000 4.4108 2.9612 Zr
0.0000 2.2895 6.0610 Sc
1.8711 1.1447 3.0305 Sc
0.0001 6.6856 4.3786 S
3.7421 2.1361 1.5438 S
1.8711 5.5437 1.4187 S
1.8711 3.2780 4.5037 S

=====

ScZn2S2 PBE-GGA relaxed; DFT total energy = -0.139 hartree per atom; energy relative to the elements, uncorrected = -7.98 kcal/mol of atoms; symmetry = P4/mbm, No. 127
1.0
-3.0644 2.7729 6.0830
-5.3674 -5.0097 -0.4202
1.8682 -2.1632 1.9272
Sc Zn S
2 4 4
Cartesian
0.0000 0.0000 0.0000 Sc
-4.2159 -1.1184 2.8314 Sc
-5.9678 -3.3761 1.9955 Zn
-6.0026 -0.5920 5.1543 Zn
-2.4640 1.1393 3.6673 Zn
-2.4292 -1.6448 0.5086 Zn
-3.7299 -4.1118 2.0835 S
-5.4246 -2.8770 5.1123 S
-2.8337 -0.2882 5.5066 S
-1.1390 -1.5230 2.4778 S